VASP calculation (PBE+U) on a relaxed structure of Sr2La2Cr3MoO12.

Results
As for the crystal system: monoclinic. The electronic total energy comes out at -7.623 eV per atom.

Structure (extended XYZ):
```
20
Lattice="4.827 -2.803 0.000 4.827 2.803 0.000 -3.036 0.000 9.190" Properties=species:S:1:pos:R:3 pbc="T T T"
Sr 0.060 0.000 3.339
Sr 6.557 0.000 5.852
La 3.295 0.000 1.115
La 3.323 0.000 8.075
Cr 0.000 0.000 0.000
Cr 0.143 0.000 6.926
Cr 6.475 0.000 2.264
Mo 3.309 0.000 4.595
O 2.700 1.372 3.226
O 1.249 1.360 7.898
O -1.177 0.000 8.411
O 1.561 0.000 5.422
O 5.368 1.360 1.292
O 3.918 1.372 5.965
O 2.700 -1.372 3.226
O 1.249 -1.360 7.898
O 5.057 0.000 3.768
O 7.795 0.000 0.780
O 5.368 -1.360 1.292
O 3.918 -1.372 5.965
```